1.
! HoSc2Sn2, optimized geometry, DFT PBE-GGA; values from VASP
&SYSTEM
  ibrav = 0, nat = 5, ntyp = 3
/
ATOMIC_SPECIES
Ho 164.93 Ho.upf
Sc 44.96 Sc.upf
Sn 118.71 Sn.upf
CELL_PARAMETERS angstrom
4.966 0.000 0.000
2.481 4.302 0.000
2.480 1.433 5.694
ATOMIC_POSITIONS crystal
Ho 0.000 0.500 0.000
Sc 0.204 0.704 0.387
Sc 0.796 0.296 0.613
Sn 0.590 0.090 0.229
Sn 0.410 0.910 0.771
! Magnetization: 0.000 μB/f.u.
! DFT total energy: -5.60 eV/atom
! Energy of formation from the pure elements: -0.55 eV per atom

2.
! HoScSn2, optimized geometry, DFT PBE-GGA; values from VASP
&SYSTEM
  ibrav = 0, nat = 4, ntyp = 3
/
ATOMIC_SPECIES
Sc 44.96 Sc.upf
Ho 164.93 Ho.upf
Sn 118.71 Sn.upf
CELL_PARAMETERS angstrom
5.222 0.000 0.000
2.611 4.523 0.000
2.611 1.508 4.264
ATOMIC_POSITIONS crystal
Sc 0.000 0.000 0.000
Ho 0.500 0.500 0.500
Sn 0.250 0.250 0.250
Sn 0.750 0.750 0.750
! Relative energy among the computed polymorphs: 59 kJ/mol of formula units
! Magnetization: 0.000 μB/f.u.
! DFT total energy: -5.21 eV/atom
! Energy of formation from the pure elements: -0.49 eV per atom

3.
! HoSc8Sn6, optimized geometry, DFT PBE-GGA; values from VASP
&SYSTEM
  ibrav = 0, nat = 15, ntyp = 3
/
ATOMIC_SPECIES
Ho 164.93 Ho.upf
Sc 44.96 Sc.upf
Sn 118.71 Sn.upf
CELL_PARAMETERS angstrom
8.579 0.000 0.000
4.290 7.430 0.000
4.290 2.477 6.161
ATOMIC_POSITIONS crystal
Ho 0.000 0.000 0.000
Sc 0.563 0.226 0.317
Sc 0.774 0.106 0.683
Sc 0.106 0.437 0.683
Sc 0.667 0.667 0.999
Sc 0.333 0.333 0.001
Sc 0.894 0.563 0.317
Sc 0.226 0.894 0.317
Sc 0.437 0.774 0.683
Sn 0.408 0.069 0.794
Sn 0.931 0.270 0.206
Sn 0.270 0.592 0.206
Sn 0.730 0.408 0.794
Sn 0.069 0.730 0.794
Sn 0.592 0.931 0.206
! Magnetization: 0.001 μB/f.u.
! DFT total energy: -5.75 eV/atom
! Energy of formation from the pure elements: -0.46 eV per atom

4.
! HoScSn3, optimized geometry, DFT PBE-GGA; values from VASP
&SYSTEM
  ibrav = 0, nat = 20, ntyp = 3
/
ATOMIC_SPECIES
Ho 164.93 Ho.upf
Sc 44.96 Sc.upf
Sn 118.71 Sn.upf
CELL_PARAMETERS angstrom
-2.883 -2.962 -4.355
4.790 1.146 -3.951
5.928 -11.454 3.865
ATOMIC_POSITIONS crystal
Ho 0.493 0.250 0.683
Ho 0.507 0.750 0.317
Ho 0.993 0.250 0.317
Ho 0.007 0.750 0.683
Sc 0.250 0.500 0.105
Sc 0.750 0.000 0.895
Sc 0.750 0.500 0.895
Sc 0.250 0.000 0.105
Sn 0.250 0.000 0.498
Sn 0.750 0.500 0.502
Sn 0.750 0.000 0.502
Sn 0.250 0.500 0.498
Sn 0.218 0.750 0.908
Sn 0.782 0.250 0.092
Sn 0.718 0.750 0.092
Sn 0.282 0.250 0.908
Sn 0.510 0.750 0.731
Sn 0.490 0.250 0.269
Sn 0.010 0.750 0.269
Sn 0.990 0.250 0.731
! Magnetization: 0.248 μB/f.u.
! DFT total energy: -5.08 eV/atom
! Energy of formation from the pure elements: -0.50 eV per atom

5.
! SrHoSc, optimized geometry, DFT PBE-GGA; values from VASP
&SYSTEM
  ibrav = 0, nat = 6, ntyp = 3
/
ATOMIC_SPECIES
Sr 87.62 Sr.upf
Ho 164.93 Ho.upf
Sc 44.96 Sc.upf
CELL_PARAMETERS angstrom
-3.710 2.001 4.890
-5.955 1.632 1.888
-18.336 -2.233 13.981
ATOMIC_POSITIONS crystal
Sr 0.915 0.915 0.054
Sr 0.838 0.838 0.253
Ho 0.019 0.019 0.834
Ho 0.734 0.734 0.473
Sc 0.914 0.914 0.728
Sc 0.839 0.839 0.579
! Relative energy among the computed polymorphs: 0 kJ/mol of formula units
! Magnetization: 0.000 μB/f.u.
! DFT total energy: -4.04 eV/atom
! Energy of formation from the pure elements: 0.16 eV per atom

6.
! SrHoSc, optimized geometry, DFT PBE-GGA; values from VASP
&SYSTEM
  ibrav = 0, nat = 3, ntyp = 3
/
ATOMIC_SPECIES
Sc 44.96 Sc.upf
Sr 87.62 Sr.upf
Ho 164.93 Ho.upf
CELL_PARAMETERS angstrom
3.692 0.000 0.000
0.000 3.692 0.000
-1.846 -1.846 7.551
ATOMIC_POSITIONS crystal
Sc 0.682 0.682 0.363
Sr 0.005 0.005 0.010
Ho 0.313 0.313 0.627
! Relative energy among the computed polymorphs: 13 kJ/mol of formula units
! Magnetization: 0.115 μB/f.u.
! DFT total energy: -4.00 eV/atom
! Energy of formation from the pure elements: 0.20 eV per atom

7.
! HoSc2Ta, optimized geometry, DFT PBE-GGA; values from VASP
&SYSTEM
  ibrav = 0, nat = 4, ntyp = 3
/
ATOMIC_SPECIES
Sc 44.96 Sc.upf
Ho 164.93 Ho.upf
Ta 180.95 Ta.upf
CELL_PARAMETERS angstrom
3.688 0.000 0.000
0.000 3.688 0.000
0.000 0.000 6.967
ATOMIC_POSITIONS crystal
Sc 0.000 0.000 0.792
Sc 0.000 0.000 0.208
Ho 0.500 0.500 0.500
Ta 0.500 0.500 0.000
! Relative energy among the computed polymorphs: 9 kJ/mol of formula units
! Magnetization: 0.000 μB/f.u.
! DFT total energy: -7.05 eV/atom
! Energy of formation from the pure elements: 0.22 eV per atom

8.
! HoSc2Ta, optimized geometry, DFT PBE-GGA; values from VASP
&SYSTEM
  ibrav = 0, nat = 4, ntyp = 3
/
ATOMIC_SPECIES
Sc 44.96 Sc.upf
Ho 164.93 Ho.upf
Ta 180.95 Ta.upf
CELL_PARAMETERS angstrom
3.187 0.000 0.000
1.593 2.760 0.000
1.593 0.920 10.714
ATOMIC_POSITIONS crystal
Sc 0.259 0.259 0.224
Sc 0.741 0.741 0.776
Ho 0.500 0.500 0.500
Ta 0.000 0.000 0.000
! Relative energy among the computed polymorphs: 0 kJ/mol of formula units
! Magnetization: 0.001 μB/f.u.
! DFT total energy: -7.08 eV/atom
! Energy of formation from the pure elements: 0.20 eV per atom

9.
! HoThScTa, optimized geometry, DFT PBE-GGA; values from VASP
&SYSTEM
  ibrav = 0, nat = 4, ntyp = 4
/
ATOMIC_SPECIES
Sc 44.96 Sc.upf
Ho 164.93 Ho.upf
Th 232.04 Th.upf
Ta 180.95 Ta.upf
CELL_PARAMETERS angstrom
-0.880 3.638 -3.638
1.066 -1.007 -5.009
-3.891 -0.620 -3.423
ATOMIC_POSITIONS crystal
Sc 0.750 0.750 0.750
Ho 0.500 0.500 0.500
Th 0.000 0.000 0.000
Ta 0.250 0.250 0.250
! Magnetization: 0.001 μB/f.u.
! DFT total energy: -7.30 eV/atom
! Energy of formation from the pure elements: 0.25 eV per atom

10.
! Tb6Ho2Sc, optimized geometry, DFT PBE-GGA; values from VASP
&SYSTEM
  ibrav = 0, nat = 18, ntyp = 3
/
ATOMIC_SPECIES
Tb 158.93 Tb.upf
Ho 164.93 Ho.upf
Sc 44.96 Sc.upf
CELL_PARAMETERS angstrom
-3.905 3.283 -3.320
-7.055 -6.852 0.013
-6.109 1.830 7.487
ATOMIC_POSITIONS crystal
Tb 0.489 0.691 0.405
Tb 0.011 0.595 0.309
Tb 0.511 0.309 0.595
Tb 0.989 0.405 0.691
Tb 0.648 0.066 0.350
Tb 0.852 0.650 0.934
Tb 0.352 0.934 0.650
Tb 0.148 0.350 0.066
Tb 0.325 0.750 0.024
Tb 0.175 0.976 0.250
Tb 0.675 0.250 0.976
Tb 0.825 0.024 0.750
Ho 0.428 0.571 0.768
Ho 0.072 0.232 0.429
Ho 0.572 0.429 0.232
Ho 0.928 0.768 0.571
Sc 0.250 0.102 0.898
Sc 0.750 0.898 0.102
! Relative energy among the computed polymorphs: 62 kJ/mol of formula units
! Magnetization: 0.000 μB/f.u.
! DFT total energy: -4.71 eV/atom
! Energy of formation from the pure elements: 0.10 eV per atom

11.
! TbHo5Sc4, optimized geometry, DFT PBE-GGA; values from VASP
&SYSTEM
  ibrav = 0, nat = 10, ntyp = 3
/
ATOMIC_SPECIES
Tb 158.93 Tb.upf
Ho 164.93 Ho.upf
Sc 44.96 Sc.upf
CELL_PARAMETERS angstrom
6.132 0.000 0.000
3.066 6.917 0.000
3.066 0.000 6.917
ATOMIC_POSITIONS crystal
Tb 0.223 0.000 0.000
Ho 0.804 0.391 0.903
Ho 0.195 0.903 0.609
Ho 0.706 0.097 0.391
Ho 0.097 0.609 0.097
Ho 0.679 0.000 0.000
Sc 0.395 0.413 0.699
Sc 0.809 0.699 0.587
Sc 0.094 0.301 0.413
Sc 0.507 0.587 0.301
! Magnetization: 0.010 μB/f.u.
! DFT total energy: -4.95 eV/atom
! Energy of formation from the pure elements: 0.34 eV per atom

12.
! Tb5Ho3Sc, optimized geometry, DFT PBE-GGA; values from VASP
&SYSTEM
  ibrav = 0, nat = 18, ntyp = 3
/
ATOMIC_SPECIES
Tb 158.93 Tb.upf
Ho 164.93 Ho.upf
Sc 44.96 Sc.upf
CELL_PARAMETERS angstrom
-0.345 7.367 -3.620
-7.271 1.957 3.286
1.026 8.423 7.628
ATOMIC_POSITIONS crystal
Tb 0.918 0.428 0.204
Tb 0.283 0.717 0.000
Tb 0.679 0.679 0.046
Tb 0.493 0.493 0.374
Tb 0.507 0.507 0.626
Tb 0.321 0.321 0.954
Tb 0.428 0.918 0.204
Tb 0.717 0.283 0.000
Tb 0.082 0.572 0.796
Tb 0.572 0.082 0.796
Ho 0.681 0.681 0.758
Ho 0.783 0.783 0.343
Ho 0.000 0.000 0.000
Ho 0.000 0.000 0.500
Ho 0.319 0.319 0.242
Ho 0.217 0.217 0.657
Sc 0.931 0.931 0.790
Sc 0.069 0.069 0.210
! Magnetization: 0.000 μB/f.u.
! DFT total energy: -4.21 eV/atom
! Energy of formation from the pure elements: 0.59 eV per atom